{"formula": "Ba2AcTl4", "functional": "GGA-PBE", "state": "relaxed", "n_ef_per_ev_cell": 25.27, "total_energy_ev_per_cell": -33.801, "formation_energy_ev_per_atom": 0.074, "space_group": "I4/mmm, No. 139", "cell": [[6.278, 0.000, 0.000], [0.000, 6.278, 0.000], [0.000, 0.000, 18.064]], "species": ["Ba", "Ba", "Ba", "Ba", "Ac", "Ac", "Tl", "Tl", "Tl", "Tl", "Tl", "Tl", "Tl", "Tl"], "frac_coords": [[0.000, 0.000, 0.115], [0.000, 0.000, 0.885], [0.500, 0.500, 0.385], [0.500, 0.500, 0.615], [0.000, 0.000, 0.500], [0.500, 0.500, 0.000], [0.000, 0.000, 0.314], [0.000, 0.000, 0.686], [0.000, 0.500, 0.000], [0.000, 0.500, 0.500], [0.500, 0.000, 0.000], [0.500, 0.000, 0.500], [0.500, 0.500, 0.186], [0.500, 0.500, 0.814]]}

***

{"formula": "CrRe2Se", "functional": "GGA-PBE", "state": "relaxed", "n_ef_per_ev_cell": 3.84, "total_energy_ev_per_cell": -35.113, "polymorph_energy_mev_per_atom": 513, "space_group": "P4/mmm, No. 123", "formation_energy_uncorrected_ev_per_atom": 0.723, "cell": [[3.696, 0.000, 0.000], [0.000, 3.696, 0.000], [0.000, 0.000, 4.518]], "species": ["Cr", "Re", "Re", "Se"], "frac_coords": [[0.000, 0.000, 0.000], [0.000, 0.500, 0.500], [0.500, 0.000, 0.500], [0.500, 0.500, 0.000]]}

***

{"formula": "CoRe2Cl", "functional": "GGA-PBE", "state": "relaxed", "n_ef_per_ev_cell": 12.83, "total_energy_ev_per_cell": -111.514, "polymorph_energy_mev_per_atom": 1125, "space_group": "I-42d, No. 122", "formation_energy_uncorrected_ev_per_atom": 1.493, "cell": [[5.260, 0.000, 0.000], [0.000, 5.260, 0.000], [0.000, 0.000, 10.524]], "species": ["Co", "Co", "Co", "Co", "Re", "Re", "Re", "Re", "Re", "Re", "Re", "Re", "Cl", "Cl", "Cl", "Cl"], "frac_coords": [[0.000, 0.000, 0.000], [0.000, 0.500, 0.250], [0.500, 0.000, 0.750], [0.500, 0.500, 0.500], [0.242, 0.250, 0.125], [0.250, 0.742, 0.375], [0.250, 0.758, 0.875], [0.258, 0.250, 0.625], [0.742, 0.750, 0.625], [0.750, 0.242, 0.875], [0.750, 0.258, 0.375], [0.758, 0.750, 0.125], [0.000, 0.000, 0.500], [0.000, 0.500, 0.750], [0.500, 0.000, 0.250], [0.500, 0.500, 0.000]]}